No. 1
VASP calculation (PBE-GGA) on crystalline Mg2CrOs at its relaxed geometry.

a b c (Å): 3.7611 3.7611 4.4041
angles (deg): 90.00 90.00 90.00
With the nearest neighbours (Å) after each atom.
Space group P4/mmm (No. 123)
Inequivalent atoms, fractional coordinates:
Mg 0.0000 0.5000 0.0000  4 Mg 2.66, 4 Cr 2.90, 4 Os 2.90
Cr 0.0000 0.0000 0.5000  4 Os 2.66, 8 Mg 2.90
Os 0.5000 0.5000 0.5000  4 Cr 2.66, 8 Mg 2.90

Output
For the mass density, the calculation gives 7752 kg/m³. The value obtained for the energy relative to the lowest polymorph listed for this composition is 280 meV per atom. For the energy of formation, the calculation gives 0.365 eV per atom.

---

No. 2
VASP calculation (PBE-GGA) on crystalline La3ZnN at its relaxed geometry.

a b c (Å): 7.2334 10.0742 7.0995
angles (deg): 90.00 90.00 90.00
With the nearest neighbours (Å) after each atom.
Space group Pnma (No. 62)
Inequivalent atoms, fractional coordinates:
La 0.0073 0.2500 0.0849  2 N 2.59
La 0.2383 0.0407 0.7366  2 N 2.56-2.58
Zn 0.0151 0.7500 0.4842  5 La 3.06-3.27
N 0.0000 0.0000 0.0000  6 La 2.56-2.59

Output
For the mass density, the calculation gives 6370 kg/m³. The value obtained for the energy relative to the lowest polymorph listed for this composition is 0 meV per atom. As for the formation energy (no corrections): -3.480 eV/f.u.